# Sr2AgW, optimized geometry, DFT PBE
data_Sr2AgW
_cell_length_a 6.750
_cell_length_b 3.112
_cell_length_c 10.206
_cell_angle_alpha 90.00
_cell_angle_beta 94.96
_cell_angle_gamma 90.00
_space_group_name_H-M_alt 'C 1 2/m 1'
_space_group_IT_number 12
_space_group_name_Hall '-C 2y'
loop_
_atom_site_label
_atom_site_type_symbol
_atom_site_fract_x
_atom_site_fract_y
_atom_site_fract_z
Sr1 Sr 0.247 0.000 0.243
Ag1 Ag 0.000 0.000 0.500
W1 W 0.000 0.500 0.000
# Energy of formation from the pure elements: 0.948 eV per atom
# Density of states at the Fermi level: 2.5 states/eV/f.u.